(1)
The following is a DFT calculation (PBE-GGA) of an optimized crystal structure of CaTlSi2.

Computed properties:
symmetry = I-42d (122)
distance to the lowest polymorph of the same formula = 0.363 eV/atom
ΔE_f (raw) = 0.259 eV per atom

Unit cell a=6.3759 b=6.3759 c=6.3759 alpha=103.26 beta=103.26 gamma=122.76
Fractional positions:
1 Ca 0.0000 0.0000 0.0000
2 Ca 0.7500 0.2500 0.5000
3 Tl 0.2500 0.7500 0.5000
4 Tl 0.5000 0.5000 0.0000
5 Si 0.1587 0.6250 0.0337
6 Si 0.3750 0.4087 0.5337
7 Si 0.5913 0.1250 0.9663
8 Si 0.8750 0.8413 0.4663


(2)
The following is a DFT calculation (PBE-GGA) of an optimized crystal structure of La2GaSiNi6.

Computed properties:
symmetry = C2/m (12)
ΔE_f (raw) = -0.462 eV per atom

Unit cell a=6.1920 b=6.1920 c=7.9175 alpha=127.29 beta=127.29 gamma=47.99
Fractional positions:
1 La 0.2473 0.2473 0.2934
2 La 0.7527 0.7527 0.7066
3 Ga 0.0000 0.0000 0.5000
4 Si 0.5000 0.5000 0.0000
5 Ni 0.2279 0.7277 0.2205
6 Ni 0.2507 0.2507 0.9058
7 Ni 0.2723 0.7721 0.7795
8 Ni 0.7277 0.2279 0.2205
9 Ni 0.7493 0.7493 0.0942
10 Ni 0.7721 0.2723 0.7795


(3)
The following is a DFT calculation (PBE-GGA) of an optimized crystal structure of ScAlC2I.

Computed properties:
symmetry = P4/mmm (123)
ΔE_f (raw) = 1.776 eV per atom

Unit cell a=4.3386 b=4.3386 c=6.4069 alpha=90.00 beta=90.00 gamma=90.00
Fractional positions:
1 Sc 0.0000 0.0000 0.0000
2 Al 0.0000 0.0000 0.5000
3 C 0.0000 0.5000 0.0000
4 C 0.5000 0.0000 0.0000
5 I 0.5000 0.5000 0.5000


(4)
The following is a DFT calculation (PBE-GGA) of an optimized crystal structure of Tc2SbHPt.

Computed properties:
symmetry = P4/mmm (123)
E = -30.25 eV per cell

Unit cell a=4.9313 b=4.9313 c=3.3086 alpha=90.00 beta=90.00 gamma=90.00
Fractional positions:
1 Tc 0.0000 0.5000 0.0000
2 Tc 0.5000 0.0000 0.0000
3 Sb 0.0000 0.0000 0.5000
4 H 0.5000 0.5000 0.5000
5 Pt 0.5000 0.5000 0.0000


(5)
The following is a DFT calculation (PBE-GGA) of an optimized crystal structure of TaCrIn2.

Computed properties:
symmetry = F-43m (216)
formation energy = 0.571 eV/atom
distance to the lowest polymorph of the same formula = 0.273 eV/atom

Unit cell a=4.7323 b=4.7323 c=4.7323 alpha=60.00 beta=60.00 gamma=60.00
Fractional positions:
1 Ta 0.0000 0.0000 0.0000
2 Cr 0.7500 0.7500 0.7500
3 In 0.2500 0.2500 0.2500
4 In 0.5000 0.5000 0.5000


(6)
The following is a DFT calculation (PBE-GGA) of an optimized crystal structure of Pm4AgGe2.

Computed properties:
symmetry = R-3m (166)
formation energy = -0.415 eV/atom

Unit cell a=9.4431 b=9.4431 c=9.4431 alpha=31.06 beta=31.06 gamma=31.06
Fractional positions:
1 Pm 0.1207 0.1207 0.1207
2 Pm 0.2924 0.2924 0.2924
3 Pm 0.7076 0.7076 0.7076
4 Pm 0.8793 0.8793 0.8793
5 Ag 0.5000 0.5000 0.5000
6 Ge 0.4047 0.4047 0.4047
7 Ge 0.5953 0.5953 0.5953


(7)
The following is a DFT calculation (PBE-GGA) of an optimized crystal structure of Tb5Pm2Sn5.

Computed properties:
symmetry = C2/m (12)
formation energy = -0.514 eV/atom

Unit cell a=7.5822 b=7.5822 c=12.7412 alpha=106.22 beta=106.22 gamma=33.91
Fractional positions:
1 Tb 0.0000 0.0000 0.0000
2 Tb 0.1567 0.1567 0.5403
3 Tb 0.2274 0.2274 0.8477
4 Tb 0.7726 0.7726 0.1523
5 Tb 0.8433 0.8433 0.4597
6 Pm 0.4485 0.4485 0.7197
7 Pm 0.5515 0.5515 0.2803
8 Sn 0.2103 0.2103 0.3028
9 Sn 0.3819 0.3819 0.0675
10 Sn 0.5000 0.5000 0.5000
11 Sn 0.6181 0.6181 0.9325
12 Sn 0.7897 0.7897 0.6972


(8)
The following is a DFT calculation (PBE-GGA) of an optimized crystal structure of NbCl.

Computed properties:
symmetry = P4/m (83)
ΔE_f (raw) = -0.450 eV per atom

Unit cell a=10.8392 b=10.8392 c=3.2194 alpha=90.00 beta=90.00 gamma=90.00
Fractional positions:
1 Nb 0.0504 0.6839 0.0000
2 Nb 0.0845 0.1573 0.5000
3 Nb 0.1573 0.9155 0.5000
4 Nb 0.3161 0.0504 0.0000
5 Nb 0.6839 0.9496 0.0000
6 Nb 0.8427 0.0845 0.5000
7 Nb 0.9155 0.8427 0.5000
8 Nb 0.9496 0.3161 0.0000
9 Cl 0.1330 0.4514 0.0000
10 Cl 0.2372 0.6976 0.5000
11 Cl 0.3024 0.2372 0.5000
12 Cl 0.4514 0.8670 0.0000
13 Cl 0.5486 0.1330 0.0000
14 Cl 0.6976 0.7628 0.5000
15 Cl 0.7628 0.3024 0.5000
16 Cl 0.8670 0.5486 0.0000


(9)
The following is a DFT calculation (PBE-GGA) of an optimized crystal structure of Cd7Ag2Au2.

Computed properties:
symmetry = Imm2 (44)
formation energy = -0.101 eV/atom

Unit cell a=7.8411 b=7.8411 c=7.8411 alpha=146.05 beta=69.78 gamma=121.07
Fractional positions:
1 Cd 0.0000 0.0000 0.0000
2 Cd 0.1118 0.4593 0.6525
3 Cd 0.2438 0.8862 0.3575
4 Cd 0.5286 0.6772 0.8514
5 Cd 0.5287 0.8862 0.6425
6 Cd 0.8068 0.4593 0.3475
7 Cd 0.8258 0.6772 0.1486
8 Ag 0.3900 0.3900 0.0000
9 Ag 0.6807 0.1807 0.5000
10 Au 0.3754 0.1764 0.1991
11 Au 0.9773 0.1764 0.8009


(10)
The following is a DFT calculation (PBE-GGA) of an optimized crystal structure of AcSmC.

Computed properties:
symmetry = P3m1 (156)
formation energy = -0.013 eV/atom
distance to the lowest polymorph of the same formula = 0.000 eV/atom

Unit cell a=3.7765 b=3.7765 c=6.8432 alpha=90.00 beta=90.00 gamma=120.00
Fractional positions:
1 Ac 0.0000 0.0000 0.0000
2 Sm 0.3333 0.6667 0.4244
3 C 0.6667 0.3333 0.2408


(11)
The following is a DFT calculation (PBE-GGA) of an optimized crystal structure of LaTh2Rh.

Computed properties:
symmetry = R3m (160)
formation energy = -0.328 eV/atom
distance to the lowest polymorph of the same formula = 0.131 eV/atom

Unit cell a=9.5861 b=9.5861 c=9.5861 alpha=23.73 beta=23.73 gamma=23.73
Fractional positions:
1 La 0.0000 0.0000 0.0000
2 Th 0.2268 0.2268 0.2268
3 Th 0.4375 0.4375 0.4375
4 Rh 0.8329 0.8329 0.8329


(12)
The following is a DFT calculation (PBE-GGA) of an optimized crystal structure of YCrAg2.

Computed properties:
symmetry = F-43m (216)
formation energy = 0.133 eV/atom
distance to the lowest polymorph of the same formula = 0.052 eV/atom

Unit cell a=4.8402 b=4.8402 c=4.8402 alpha=60.00 beta=60.00 gamma=60.00
Fractional positions:
1 Y 0.0000 0.0000 0.0000
2 Cr 0.7500 0.7500 0.7500
3 Ag 0.2500 0.2500 0.2500
4 Ag 0.5000 0.5000 0.5000


Q: What is the formula in the fourth record?
A: Tc2SbHPt